Run one
A relaxed structure of DyCrF5, computed with GGA+U.

Unit cell a=5.7307 b=10.5906 c=8.5363 alpha=90.00 beta=105.46 gamma=90.00
Space group P2_1/c (No. 14)
Symmetry-distinct sites (fractional):
Dy 0.0732 0.2418 0.3584
Cr 0.4947 0.5026 0.7070
F 0.1133 0.2047 0.6164
F 0.2057 0.6029 0.2311
F 0.2108 0.6193 0.6587
F 0.3476 0.1001 0.3533
F 0.3525 0.1077 0.9410

Run two
A relaxed structure of DyCrF5, computed with GGA+U.

Unit cell a=8.9644 b=7.2820 c=7.3736 alpha=90.00 beta=112.52 gamma=90.00
Space group C2/c (No. 15)
Symmetry-distinct sites (fractional):
Dy 0.0000 0.0553 0.2500
Cr 0.0000 0.5000 0.0000
F 0.0000 0.3729 0.2500
F 0.0122 0.1704 0.9624
F 0.2385 0.4616 0.6292

Which structure is most stable, and how do the rest compare? From most to least stable: run two, run one.